(1)
Pm2Pr3Nd2, optimized geometry, DFT PBE; excess energy over the best structure of this formula in the dataset = 83 meV per atom; SG = C2/m, No. 12
1.0
3.586 0.000 0.000
0.000 8.835 -0.671
-1.793 -3.713 8.170
Nd Pr Pm
2 3 2
direct
0.854 0.670 0.707 Nd
0.146 0.330 0.293 Nd
0.786 0.198 0.573 Pr
0.214 0.802 0.427 Pr
0.000 0.500 0.000 Pr
0.436 0.093 0.872 Pm
0.564 0.907 0.128 Pm


(2)
Pm2Pr5Nd2, optimized geometry, DFT PBE; excess energy over the best structure of this formula in the dataset = 0 meV per atom; SG = C2/m, No. 12
1.0
3.491 0.000 -0.720
-0.685 9.552 -3.321
0.554 -5.260 11.510
Pm Pr Nd
2 5 2
direct
0.163 0.097 0.325 Pm
0.837 0.903 0.675 Pm
0.331 0.200 0.662 Pr
0.824 0.520 0.647 Pr
0.176 0.480 0.353 Pr
0.669 0.800 0.338 Pr
0.000 0.000 0.000 Pr
0.504 0.320 0.007 Nd
0.496 0.680 0.993 Nd


(3)
Pm12PrNd7, optimized geometry, DFT PBE; excess energy over the best structure of this formula in the dataset = 372 meV per atom; SG = Im-3, No. 204
1.0
-6.753 7.240 -1.759
-4.656 -8.089 3.743
6.814 3.307 6.615
Pm Nd Pr
12 7 1
direct
0.251 0.750 0.001 Pm
0.250 0.502 0.251 Pm
0.250 0.999 0.749 Pm
0.502 0.251 0.250 Pm
0.749 0.750 0.498 Pm
0.001 0.251 0.750 Pm
0.750 0.498 0.749 Pm
0.749 0.250 0.999 Pm
0.750 0.001 0.251 Pm
0.498 0.749 0.750 Pm
0.999 0.749 0.250 Pm
0.251 0.250 0.502 Pm
0.000 0.500 0.000 Nd
0.000 0.500 0.500 Nd
0.000 0.000 0.500 Nd
0.500 0.000 0.000 Nd
0.500 0.500 0.500 Nd
0.500 0.000 0.500 Nd
0.500 0.500 0.000 Nd
0.000 0.000 0.000 Pr


(4)
PmPr5Nd4, optimized geometry, DFT PBE; excess energy over the best structure of this formula in the dataset = 26 meV per atom; SG = P4/nmm, No. 129
1.0
6.092 0.000 0.000
0.000 10.759 0.000
0.000 0.000 10.760
Nd Pr Pm
8 10 2
direct
0.631 0.000 0.703 Nd
0.369 0.500 0.797 Nd
0.369 0.500 0.203 Nd
0.369 0.797 0.500 Nd
0.631 0.703 0.000 Nd
0.369 0.203 0.500 Nd
0.631 0.297 0.000 Nd
0.631 0.000 0.297 Nd
0.837 0.661 0.661 Pr
0.837 0.339 0.661 Pr
0.000 0.500 0.000 Pr
0.163 0.161 0.161 Pr
0.000 0.000 0.500 Pr
0.163 0.839 0.839 Pr
0.163 0.161 0.839 Pr
0.837 0.661 0.339 Pr
0.163 0.839 0.161 Pr
0.837 0.339 0.339 Pr
0.668 0.000 0.000 Pm
0.332 0.500 0.500 Pm


(5)
Pm4Pr5Nd3, optimized geometry, DFT PBE; excess energy over the best structure of this formula in the dataset = 0 meV per atom; SG = P-1, No. 2
1.0
7.098 -0.402 1.903
-5.349 7.729 -6.901
4.199 -4.014 11.966
Pm Nd Pr
4 3 5
direct
0.835 0.668 0.833 Pm
0.083 0.167 0.333 Pm
0.165 0.332 0.167 Pm
0.917 0.833 0.667 Pm
0.000 0.000 0.500 Nd
0.415 0.832 0.667 Nd
0.585 0.168 0.333 Nd
0.500 0.000 0.500 Pr
0.666 0.333 0.167 Pr
0.251 0.500 0.000 Pr
0.334 0.667 0.833 Pr
0.749 0.500 0.000 Pr


(6)
Pm4Pr3Nd, optimized geometry, DFT PBE; excess energy over the best structure of this formula in the dataset = 20 meV per atom; SG = Pmn2_1, No. 31
1.0
-3.851 -5.062 -0.807
5.886 -4.226 -1.579
1.151 -2.720 11.570
Pm Pr Nd
8 6 2
direct
0.480 0.123 0.500 Pm
0.149 0.124 0.250 Pm
0.649 0.876 0.250 Pm
0.649 0.876 0.750 Pm
0.149 0.124 0.750 Pm
0.980 0.877 0.000 Pm
0.980 0.877 0.500 Pm
0.480 0.123 0.000 Pm
0.647 0.373 0.250 Pr
0.981 0.374 0.500 Pr
0.481 0.626 0.000 Pr
0.147 0.627 0.250 Pr
0.147 0.627 0.750 Pr
0.647 0.373 0.750 Pr
0.982 0.374 0.000 Nd
0.482 0.626 0.500 Nd


(7)
Pm4PrNd15, optimized geometry, DFT PBE; SG = P4/mmm, No. 123
1.0
-3.500 -3.833 -0.378
1.468 -0.855 -4.920
17.772 -17.042 8.262
Nd Pm Pr
15 4 1
direct
0.500 0.000 0.500 Nd
0.500 0.000 0.899 Nd
0.500 0.500 0.400 Nd
0.500 0.500 0.200 Nd
0.500 0.500 0.800 Nd
0.500 0.500 0.000 Nd
0.000 0.500 0.300 Nd
0.000 0.500 0.899 Nd
0.500 0.000 0.300 Nd
0.500 0.000 0.700 Nd
0.000 0.500 0.101 Nd
0.000 0.500 0.500 Nd
0.000 0.500 0.700 Nd
0.500 0.000 0.101 Nd
0.500 0.500 0.600 Nd
0.000 0.000 0.600 Pm
0.000 0.000 0.400 Pm
0.000 0.000 0.800 Pm
0.000 0.000 0.200 Pm
0.000 0.000 0.000 Pr


(8)
Pm2Pr4Nd5, optimized geometry, DFT PBE; excess energy over the best structure of this formula in the dataset = 0 meV per atom; SG = C2/m, No. 12
1.0
3.498 0.000 -0.533
-0.206 8.948 -1.354
0.105 0.406 12.432
Pr Pm Nd
4 2 5
direct
0.046 0.361 0.092 Pr
0.954 0.639 0.908 Pr
0.322 0.529 0.643 Pr
0.678 0.471 0.357 Pr
0.090 0.733 0.180 Pm
0.910 0.267 0.820 Pm
0.231 0.825 0.462 Nd
0.141 0.114 0.282 Nd
0.859 0.886 0.718 Nd
0.500 0.000 0.000 Nd
0.769 0.175 0.538 Nd


(9)
Pm4Pr3Nd8, optimized geometry, DFT PBE; SG = C2/m, No. 12
1.0
-5.436 -3.403 2.750
7.184 0.572 6.088
-0.487 9.269 1.687
Nd Pr Pm
8 3 4
direct
0.203 0.704 0.704 Nd
0.246 0.248 0.248 Nd
0.000 0.703 0.297 Nd
0.000 0.297 0.703 Nd
0.500 0.752 0.248 Nd
0.500 0.248 0.752 Nd
0.797 0.296 0.296 Nd
0.754 0.752 0.752 Nd
0.500 0.000 0.500 Pr
0.500 0.500 0.000 Pr
0.500 0.500 0.500 Pr
0.000 0.500 0.000 Pm
0.500 0.000 0.000 Pm
0.000 0.000 0.000 Pm
0.000 0.000 0.500 Pm


(10)
Pm3Pr4Nd5, optimized geometry, DFT PBE; excess energy over the best structure of this formula in the dataset = 0 meV per atom; SG = P-1, No. 2
1.0
7.100 -0.437 1.891
-5.327 7.770 -6.870
4.200 -4.062 11.947
Pr Nd Pm
4 5 3
direct
0.833 0.666 0.833 Pr
0.916 0.833 0.666 Pr
0.167 0.334 0.167 Pr
0.084 0.167 0.334 Pr
0.333 0.666 0.833 Nd
0.500 0.000 0.500 Nd
0.249 0.501 0.001 Nd
0.667 0.334 0.167 Nd
0.751 0.499 0.999 Nd
0.582 0.166 0.333 Pm
0.000 0.000 0.500 Pm
0.418 0.834 0.667 Pm


(11)
PmPr4Nd3, optimized geometry, DFT PBE; excess energy over the best structure of this formula in the dataset = 0 meV per atom; SG = Pmna, No. 53
1.0
-1.568 2.783 6.653
4.851 -4.631 3.080
7.567 7.129 -1.199
Nd Pr Pm
6 8 2
direct
0.000 0.310 0.000 Nd
0.250 0.061 0.250 Nd
0.250 0.061 0.750 Nd
0.000 0.810 0.500 Nd
0.750 0.561 0.750 Nd
0.750 0.561 0.250 Nd
0.000 0.311 0.500 Pr
0.500 0.810 0.500 Pr
0.000 0.811 0.000 Pr
0.500 0.310 0.000 Pr
0.749 0.061 0.250 Pr
0.251 0.561 0.250 Pr
0.749 0.061 0.750 Pr
0.251 0.561 0.750 Pr
0.500 0.811 0.000 Pm
0.500 0.311 0.500 Pm


(12)
PmPr12Nd3, optimized geometry, DFT PBE; SG = P4/mmm, No. 123
1.0
5.239 0.000 0.000
0.000 5.239 0.000
0.000 0.000 20.917
Pm Nd Pr
1 3 12
direct
0.000 0.000 0.000 Pm
0.000 0.000 0.250 Nd
0.000 0.000 0.750 Nd
0.000 0.000 0.500 Nd
0.500 0.500 0.000 Pr
0.500 0.000 0.125 Pr
0.000 0.500 0.625 Pr
0.500 0.500 0.250 Pr
0.500 0.000 0.875 Pr
0.500 0.000 0.625 Pr
0.000 0.500 0.875 Pr
0.500 0.000 0.375 Pr
0.000 0.500 0.375 Pr
0.500 0.500 0.750 Pr
0.000 0.500 0.125 Pr
0.500 0.500 0.500 Pr


Number 1: calculated volume 35.7 A^3/atom, energy of formation 0.098 eV/atom, DOS at the Fermi energy 9.88 states/eV per cell. Number 2: calculated volume 36.0 A^3/atom, energy of formation 0.128 eV/atom, DOS at the Fermi energy 15.81 states/eV per cell. Number 3: calculated volume 39.1 A^3/atom, energy of formation 0.587 eV/atom, DOS at the Fermi energy 29.24 states/eV per cell. Number 4: calculated volume 35.3 A^3/atom, energy of formation 0.161 eV/atom, DOS at the Fermi energy 26.00 states/eV per cell. Number 5: calculated volume 35.4 A^3/atom, energy of formation 0.012 eV/atom, DOS at the Fermi energy 19.26 states/eV per cell. Number 6: calculated volume 35.5 A^3/atom, energy of formation 0.033 eV/atom, DOS at the Fermi energy 28.18 states/eV per cell. Number 7: calculated volume 35.2 A^3/atom, energy of formation 0.013 eV/atom, DOS at the Fermi energy 29.91 states/eV per cell. Number 8: calculated volume 35.6 A^3/atom, energy of formation 0.126 eV/atom, DOS at the Fermi energy 18.26 states/eV per cell. Number 9: calculated volume 35.8 A^3/atom, energy of formation 0.301 eV/atom, DOS at the Fermi energy 25.62 states/eV per cell. Number 10: calculated volume 35.4 A^3/atom, energy of formation 0.012 eV/atom, DOS at the Fermi energy 19.30 states/eV per cell. Number 11: calculated volume 35.6 A^3/atom, energy of formation 0.013 eV/atom, DOS at the Fermi energy 26.66 states/eV per cell. Number 12: calculated volume 35.9 A^3/atom, energy of formation 0.009 eV/atom, DOS at the Fermi energy 25.48 states/eV per cell.